Entry 1:
Crystalline SiPtRh at its relaxed geometry, computed with PBE.

## Properties
Magnetic moment (μB per formula unit): 0.0
E_form (uncorrected) (meV/atom): -495

Structure (extended XYZ):
```
3
Lattice="4.056 0.000 0.000 -2.028 3.512 0.000 0.000 0.000 3.068" Properties=species:S:1:pos:R:3 pbc="T T T"
Si 0.000 0.000 0.000
Pt 2.028 1.171 0.731
Rh 0.000 2.342 2.271
```

Entry 2:
Crystalline Ba2ScNi at its relaxed geometry, computed with PBE.

## Properties
Magnetic moment (μB per formula unit): 0.0
E above lowest polymorph (meV/atom): 77.4

Structure (extended XYZ):
```
4
Lattice="5.648 0.000 0.000 0.000 3.886 0.000 -2.819 0.000 6.503" Properties=species:S:1:pos:R:3 pbc="T T T"
Ba 0.000 0.000 0.000
Ba 0.006 1.943 3.956
Sc 2.828 1.943 1.707
Ni 2.842 0.000 3.263
```

Entry 3:
Crystalline KBa3Au at its relaxed geometry, computed with PBE.

## Properties
Magnetic moment (μB per formula unit): 2.7
E above lowest polymorph (meV/atom): 1016.8

Structure (extended XYZ):
```
5
Lattice="6.812 0.000 0.000 0.000 6.812 0.000 0.000 0.000 6.812" Properties=species:S:1:pos:R:3 pbc="T T T"
K 0.000 0.000 0.000
Ba 0.000 0.000 3.406
Ba 0.000 3.406 0.000
Ba 3.406 0.000 0.000
Au 3.406 3.406 3.406
```

Entry 4:
Crystalline RbY2Ag at its relaxed geometry, computed with PBE.

## Properties
Magnetic moment (μB per formula unit): 1.0
Calculated total energy (eV per atom): -3.441

Structure (extended XYZ):
```
8
Lattice="-3.369 3.369 9.223 3.369 -3.369 9.223 3.369 3.369 -9.223" Properties=species:S:1:pos:R:3 pbc="T T T"
Rb 3.369 1.684 2.306
Rb 0.000 1.684 6.918
Y 0.000 0.000 0.000
Y 1.684 1.684 -4.612
Y 1.684 -1.684 4.612
Y 0.000 3.369 0.000
Ag 3.369 -1.684 6.918
Ag 0.000 5.053 2.306
```

Entry 5:
Crystalline AgOF2 at its relaxed geometry, computed with PBE.

## Properties
Magnetic moment (μB per formula unit): 1.0
E_form (uncorrected) (meV/atom): -807
E above lowest polymorph (meV/atom): 0.0

Structure (extended XYZ):
```
8
Lattice="4.013 0.000 0.000 0.080 5.992 0.000 1.380 1.423 6.392" Properties=species:S:1:pos:R:3 pbc="T T T"
Ag 0.000 0.000 0.000
Ag 2.049 2.974 0.022
O 4.422 4.242 3.324
O 4.400 5.440 3.043
F 1.924 5.550 5.488
F 2.948 2.549 5.493
F 2.534 4.840 0.887
F 3.584 1.856 0.954
```

Entry 6:
Crystalline ErZrIn2 at its relaxed geometry, computed with PBE.

## Properties
Magnetic moment (μB per formula unit): 0.0
Calculated total energy (eV per atom): -4.968

Structure (extended XYZ):
```
4
Lattice="4.678 0.000 0.000 0.000 4.678 0.000 0.000 0.000 4.361" Properties=species:S:1:pos:R:3 pbc="T T T"
Er 0.000 0.000 0.000
Zr 2.339 2.339 0.000
In 0.000 2.339 2.180
In 2.339 0.000 2.180
```

Entry 7:
Crystalline Hg5I4F3 at its relaxed geometry, computed with PBE.

## Properties
Magnetic moment (μB per formula unit): 0.0
E_form (uncorrected) (meV/atom): -613

Structure (extended XYZ):
```
12
Lattice="4.736 0.000 0.000 -2.115 6.027 0.000 -1.704 -1.402 13.031" Properties=species:S:1:pos:R:3 pbc="T T T"
Hg 0.000 0.000 0.000
Hg -1.817 1.914 9.668
Hg -2.070 4.478 8.982
Hg 2.987 0.147 4.049
Hg 2.734 2.711 3.362
I 0.274 2.461 1.290
I 0.350 0.818 7.547
I 0.567 3.807 5.484
I 0.644 2.164 11.740
F -2.128 4.855 2.782
F 2.368 0.000 0.000
F 3.045 -0.230 10.249
```

Entry 8:
Crystalline Zn2NiIr at its relaxed geometry, computed with PBE.

## Properties
Magnetic moment (μB per formula unit): 0.1
Calculated total energy (eV per atom): -4.334

Structure (extended XYZ):
```
4
Lattice="1.358 0.784 8.556 -1.358 0.784 8.556 0.000 -1.568 8.556" Properties=species:S:1:pos:R:3 pbc="T T T"
Zn 0.000 0.000 0.000
Zn 0.000 0.000 6.233
Ni 0.000 0.000 19.093
Ir 0.000 0.000 12.599
```

- Number 3 is which compound?
  KBa3Au

- Number 4 is which compound?
  RbY2Ag